Here is an optimized crystal structure of Pm2SmRh from Alexandria. Energies are from GGA-PBE.

## Properties
excess energy over the best structure of this formula in the dataset = 342 meV/atom
total moment = 2.30 Bohr magnetons per cell
energy of formation = -0.105 eV per atom

```
Pm2SmRh
1.0
3.749 0.000 0.000
-1.875 3.247 0.000
0.000 0.000 31.965
Pm Sm Rh
6 3 3
Direct
0.000 0.000 0.111
0.000 0.000 0.889
0.333 0.667 0.556
0.333 0.667 0.778
0.667 0.333 0.222
0.667 0.333 0.444
0.000 0.000 0.000
0.333 0.667 0.667
0.667 0.333 0.333
0.000 0.000 0.500
0.333 0.667 0.167
0.667 0.333 0.833
```